Density functional theory data (PBE) for a geometry-optimized PrGdCd2In2 structure.

Lattice parameters (Å, degrees): 4.965 4.965 7.405 90.00 90.00 120.00
Positions (direct):
In: 0.333 0.667 0.258
In: 0.667 0.333 0.742
Cd: 0.667 0.333 0.271
Cd: 0.333 0.667 0.729
Gd: 0.000 0.000 0.500
Pr: 0.000 0.000 0.000

E in eV/atom: -3.220
Space group: P-3m1
Mass density in g cm⁻³: 7.9
Crystal system: trigonal

Density functional theory data (PBE) for a geometry-optimized PrGd2Cd4In2 structure.

Lattice parameters (Å, degrees): 4.671 7.601 7.601 120.60 90.00 90.00
Positions (direct):
Gd: 0.000 0.002 0.578
Gd: 0.000 0.578 0.002
Pr: 0.000 0.425 0.425
Cd: 0.500 0.759 0.759
Cd: 0.500 0.000 0.240
Cd: 0.000 0.994 0.994
Cd: 0.500 0.240 0.000
In: 0.500 0.332 0.671
In: 0.500 0.671 0.332

E in eV/atom: -2.990
Space group: Amm2
Mass density in g cm⁻³: 8.1
Crystal system: orthorhombic

Density functional theory data (PBE) for a geometry-optimized Pr2GdCd4In2 structure.

Lattice parameters (Å, degrees): 4.709 7.611 7.611 119.42 90.00 90.00
Positions (direct):
Cd: 0.500 0.760 0.999
Cd: 0.500 0.239 0.239
Cd: 0.500 0.999 0.760
Cd: 0.000 0.994 0.994
In: 0.500 0.338 0.666
In: 0.500 0.666 0.338
Pr: 0.000 0.424 0.002
Pr: 0.000 0.002 0.424
Gd: 0.000 0.579 0.579

E in eV/atom: -3.010
Space group: Amm2
Mass density in g cm⁻³: 7.8
Crystal system: orthorhombic

Density functional theory data (PBE) for a geometry-optimized Pr2GdZn3CdIn2 structure.

Lattice parameters (Å, degrees): 4.663 7.334 7.334 119.36 90.00 90.00
Positions (direct):
Zn: 0.500 0.233 0.233
Zn: 0.500 0.766 0.000
Zn: 0.500 0.000 0.766
In: 0.500 0.339 0.666
In: 0.500 0.666 0.339
Pr: 0.000 0.424 0.003
Pr: 0.000 0.003 0.424
Gd: 0.000 0.578 0.578
Cd: 0.000 0.992 0.992

E in eV/atom: -3.067
Space group: Amm2
Mass density in g cm⁻³: 7.4
Crystal system: orthorhombic

Density functional theory data (PBE) for a geometry-optimized PrGd2Zn3CdIn2 structure.

Lattice parameters (Å, degrees): 4.629 7.318 7.318 120.70 90.00 90.00
Positions (direct):
Cd: 0.000 0.992 0.992
Zn: 0.500 0.000 0.234
Zn: 0.500 0.234 0.000
Zn: 0.500 0.765 0.765
Gd: 0.000 0.578 0.003
Gd: 0.000 0.003 0.578
In: 0.500 0.333 0.672
In: 0.500 0.672 0.333
Pr: 0.000 0.424 0.424

E in eV/atom: -3.060
Space group: Amm2
Mass density in g cm⁻³: 7.7
Crystal system: orthorhombic

Density functional theory data (PBE) for a geometry-optimized GdCdInS3 structure.

Lattice parameters (Å, degrees): 7.280 7.280 10.792 90.00 90.00 32.80
Positions (direct):
Cd: 0.551 0.551 0.750
Cd: 0.449 0.449 0.250
In: 0.266 0.266 0.750
In: 0.734 0.734 0.250
S: 0.369 0.369 0.045
S: 0.631 0.631 0.955
S: 0.631 0.631 0.545
S: 0.369 0.369 0.455
S: 0.066 0.066 0.250
S: 0.934 0.934 0.750
Gd: 0.000 0.000 0.000
Gd: 0.000 0.000 0.500

E in eV/atom: -4.501
Space group: Cmcm
Mass density in g cm⁻³: 5.2
Crystal system: orthorhombic

Density functional theory data (PBE) for a geometry-optimized Gd2ScCdIn2 structure.

Lattice parameters (Å, degrees): 5.028 5.028 7.144 90.00 90.00 120.00
Positions (direct):
Cd: 0.667 0.333 0.500
Gd: 0.333 0.667 0.251
Gd: 0.333 0.667 0.749
Sc: 0.000 0.000 0.000
In: 0.000 0.000 0.500
In: 0.667 0.333 0.000

E in eV/atom: -4.046
Space group: P-6m2
Mass density in g cm⁻³: 7.4
Crystal system: hexagonal

Density functional theory data (PBE) for a geometry-optimized GdCdInSe3 structure.

Lattice parameters (Å, degrees): 4.298 12.458 12.552 90.00 90.00 90.00
Positions (direct):
In: 0.750 0.656 0.488
In: 0.250 0.344 0.512
In: 0.750 0.156 0.012
In: 0.250 0.844 0.988
Gd: 0.250 0.971 0.331
Gd: 0.750 0.529 0.831
Gd: 0.750 0.029 0.669
Gd: 0.250 0.471 0.169
Se: 0.250 0.530 0.667
Se: 0.750 0.589 0.063
Se: 0.250 0.911 0.563
Se: 0.750 0.262 0.677
Se: 0.250 0.411 0.937
Se: 0.750 0.089 0.437
Se: 0.250 0.030 0.833
Se: 0.750 0.970 0.167
Se: 0.750 0.762 0.823
Se: 0.250 0.238 0.177
Se: 0.250 0.738 0.323
Se: 0.750 0.470 0.333
Cd: 0.750 0.256 0.308
Cd: 0.250 0.744 0.692
Cd: 0.750 0.756 0.192
Cd: 0.250 0.244 0.808

E in eV/atom: -4.114
Space group: Pnma
Mass density in g cm⁻³: 6.1
Crystal system: orthorhombic
Relative energy among the computed polymorphs in meV per atom: 23

Density functional theory data (PBE) for a geometry-optimized GdCdInSe3 structure.

Lattice parameters (Å, degrees): 7.531 7.531 11.155 90.00 90.00 32.80
Positions (direct):
Cd: 0.459 0.459 0.250
Cd: 0.541 0.541 0.750
In: 0.749 0.749 0.250
In: 0.251 0.251 0.750
Gd: 0.000 0.000 0.500
Gd: 0.000 0.000 0.000
Se: 0.634 0.634 0.951
Se: 0.925 0.925 0.750
Se: 0.075 0.075 0.250
Se: 0.366 0.366 0.451
Se: 0.634 0.634 0.549
Se: 0.366 0.366 0.049

E in eV/atom: -4.137
Space group: Cmcm
Mass density in g cm⁻³: 6.0
Crystal system: orthorhombic
Relative energy among the computed polymorphs in meV per atom: 0

Density functional theory data (PBE) for a geometry-optimized GdCdInTe3 structure.

Lattice parameters (Å, degrees): 8.722 4.671 18.755 90.00 90.00 90.00
Positions (direct):
Te: 0.006 0.750 0.924
Te: 0.494 0.250 0.424
Te: 0.230 0.750 0.293
Te: 0.730 0.750 0.207
Te: 0.506 0.750 0.576
Te: 0.373 0.750 0.062
Te: 0.270 0.250 0.793
Te: 0.770 0.250 0.707
Te: 0.127 0.250 0.562
Te: 0.627 0.250 0.938
Te: 0.994 0.250 0.076
Te: 0.873 0.750 0.438
Cd: 0.576 0.750 0.340
Cd: 0.424 0.250 0.660
Cd: 0.076 0.750 0.160
Cd: 0.924 0.250 0.840
Gd: 0.769 0.250 0.540
Gd: 0.731 0.750 0.040
Gd: 0.231 0.750 0.460
Gd: 0.269 0.250 0.960
In: 0.441 0.250 0.198
In: 0.059 0.750 0.698
In: 0.559 0.750 0.802
In: 0.941 0.250 0.302

E in eV/atom: -3.646
Space group: Pnma
Mass density in g cm⁻³: 6.7
Crystal system: orthorhombic
Relative energy among the computed polymorphs in meV per atom: 74

Density functional theory data (PBE) for a geometry-optimized GdCdInTe3 structure.

Lattice parameters (Å, degrees): 7.983 7.983 11.636 90.00 90.00 32.33
Positions (direct):
In: 0.239 0.239 0.750
In: 0.761 0.761 0.250
Te: 0.640 0.640 0.552
Te: 0.915 0.915 0.750
Te: 0.640 0.640 0.948
Te: 0.360 0.360 0.448
Te: 0.360 0.360 0.052
Te: 0.085 0.085 0.250
Gd: 0.000 0.000 0.000
Gd: 0.000 0.000 0.500
Cd: 0.466 0.466 0.250
Cd: 0.534 0.534 0.750

E in eV/atom: -3.718
Space group: Cmcm
Mass density in g cm⁻³: 6.4
Crystal system: orthorhombic
Relative energy among the computed polymorphs in meV per atom: 2

Density functional theory data (PBE) for a geometry-optimized GdCdInTe3 structure.

Lattice parameters (Å, degrees): 12.989 4.582 13.269 90.00 90.00 90.00
Positions (direct):
Te: 0.768 0.250 0.173
Te: 0.029 0.750 0.152
Te: 0.589 0.250 0.936
Te: 0.268 0.250 0.327
Te: 0.911 0.750 0.436
Te: 0.232 0.750 0.827
Te: 0.089 0.250 0.564
Te: 0.732 0.750 0.673
Te: 0.411 0.750 0.064
Te: 0.471 0.250 0.652
Te: 0.529 0.750 0.348
Te: 0.971 0.250 0.848
In: 0.830 0.750 0.994
In: 0.670 0.250 0.494
In: 0.170 0.250 0.006
In: 0.330 0.750 0.506
Cd: 0.256 0.250 0.698
Cd: 0.244 0.750 0.198
Cd: 0.756 0.250 0.802
Cd: 0.744 0.750 0.302
Gd: 0.972 0.750 0.679
Gd: 0.528 0.250 0.179
Gd: 0.028 0.250 0.321
Gd: 0.472 0.750 0.821

E in eV/atom: -3.670
Space group: Pnma
Mass density in g cm⁻³: 6.5
Crystal system: orthorhombic
Relative energy among the computed polymorphs in meV per atom: 49

Density functional theory data (PBE) for a geometry-optimized GdCdInTe3 structure.

Lattice parameters (Å, degrees): 9.930 9.930 9.661 103.16 103.16 25.61
Positions (direct):
Te: 0.000 0.000 0.500
Te: 0.683 0.683 0.820
Te: 0.663 0.663 0.359
Te: 0.337 0.337 0.641
Te: 0.500 0.500 0.000
Te: 0.317 0.317 0.180
In: 0.865 0.865 0.924
In: 0.135 0.135 0.076
Cd: 0.470 0.470 0.279
Cd: 0.530 0.530 0.721
Gd: 0.825 0.825 0.410
Gd: 0.175 0.175 0.590

E in eV/atom: -3.654
Space group: C2/m
Mass density in g cm⁻³: 6.4
Crystal system: monoclinic
Relative energy among the computed polymorphs in meV per atom: 65

Density functional theory data (PBE) for a geometry-optimized GdCdInTe3 structure.

Lattice parameters (Å, degrees): 15.245 4.481 11.963 90.00 90.00 90.00
Positions (direct):
Cd: 0.020 0.750 0.602
Cd: 0.480 0.250 0.102
Cd: 0.980 0.250 0.398
Cd: 0.520 0.750 0.898
Te: 0.902 0.250 0.624
Te: 0.098 0.750 0.376
Te: 0.344 0.250 0.265
Te: 0.156 0.750 0.765
Te: 0.656 0.750 0.735
Te: 0.598 0.750 0.124
Te: 0.104 0.250 0.080
Te: 0.396 0.750 0.580
Te: 0.844 0.250 0.235
Te: 0.604 0.250 0.420
Te: 0.402 0.250 0.876
Te: 0.896 0.750 0.920
Gd: 0.527 0.250 0.657
Gd: 0.027 0.250 0.843
Gd: 0.473 0.750 0.343
Gd: 0.973 0.750 0.157
In: 0.258 0.750 0.045
In: 0.242 0.250 0.545
In: 0.758 0.750 0.455
In: 0.742 0.250 0.955

E in eV/atom: -3.714
Space group: Pnma
Mass density in g cm⁻³: 6.2
Crystal system: orthorhombic
Relative energy among the computed polymorphs in meV per atom: 6

Density functional theory data (PBE) for a geometry-optimized GdCdInTe3 structure.

Lattice parameters (Å, degrees): 8.738 4.468 11.145 90.00 106.91 90.00
Positions (direct):
Te: 0.941 0.750 0.140
Te: 0.256 0.750 0.556
Te: 0.558 0.250 0.852
Te: 0.059 0.250 0.860
Te: 0.442 0.750 0.148
Te: 0.744 0.250 0.444
Gd: 0.311 0.750 0.859
Gd: 0.689 0.250 0.141
In: 0.256 0.250 0.282
In: 0.744 0.750 0.718
Cd: 0.078 0.250 0.611
Cd: 0.922 0.750 0.389

E in eV/atom: -3.705
Space group: P2_1/m
Mass density in g cm⁻³: 6.1
Crystal system: monoclinic
Relative energy among the computed polymorphs in meV per atom: 15

Density functional theory data (PBE) for a geometry-optimized GdCdInTe3 structure.

Lattice parameters (Å, degrees): 11.707 4.475 15.324 90.00 90.00 90.00
Positions (direct):
Cd: 0.761 0.250 0.218
Cd: 0.261 0.250 0.282
Cd: 0.739 0.750 0.718
Cd: 0.239 0.750 0.782
Gd: 0.986 0.250 0.747
Gd: 0.514 0.750 0.247
Gd: 0.014 0.750 0.253
Gd: 0.486 0.250 0.753
In: 0.772 0.750 0.010
In: 0.728 0.250 0.510
In: 0.272 0.750 0.490
In: 0.228 0.250 0.990
Te: 0.262 0.750 0.165
Te: 0.039 0.750 0.886
Te: 0.961 0.250 0.114
Te: 0.539 0.750 0.614
Te: 0.738 0.250 0.835
Te: 0.461 0.250 0.386
Te: 0.762 0.750 0.335
Te: 0.433 0.750 0.891
Te: 0.567 0.250 0.109
Te: 0.933 0.750 0.609
Te: 0.067 0.250 0.391
Te: 0.238 0.250 0.665

E in eV/atom: -3.720
Space group: Pnma
Mass density in g cm⁻³: 6.3
Crystal system: orthorhombic
Relative energy among the computed polymorphs in meV per atom: 0

Density functional theory data (PBE) for a geometry-optimized Gd2TlCd2In structure.

Lattice parameters (Å, degrees): 4.879 4.879 7.506 90.00 90.00 120.00
Positions (direct):
Cd: 0.333 0.667 0.536
Cd: 0.000 0.000 0.047
Gd: 0.667 0.333 0.249
Gd: 0.667 0.333 0.748
Tl: 0.333 0.667 0.956
In: 0.000 0.000 0.463

E in eV/atom: -3.092
Space group: P3m1
Mass density in g cm⁻³: 9.2
Crystal system: trigonal

Density functional theory data (PBE) for a geometry-optimized GdTm2Zn3CdIn2 structure.

Lattice parameters (Å, degrees): 4.568 7.154 7.154 120.64 90.00 90.00
Positions (direct):
Zn: 0.500 0.765 0.765
Zn: 0.500 0.233 0.001
Zn: 0.500 0.001 0.233
In: 0.500 0.333 0.670
In: 0.500 0.670 0.333
Gd: 0.000 0.432 0.432
Tm: 0.000 0.002 0.570
Tm: 0.000 0.570 0.002
Cd: 0.000 0.994 0.994

E in eV/atom: -2.998
Space group: Amm2
Mass density in g cm⁻³: 8.5
Crystal system: orthorhombic

Density functional theory data (PBE) for a geometry-optimized GdCdIr structure.

Lattice parameters (Å, degrees): 4.690 4.690 4.690 60.00 60.00 60.00
Positions (direct):
Cd: 0.750 0.750 0.750
Ir: 0.000 0.000 0.000
Gd: 0.250 0.250 0.250

E in eV/atom: -5.212
Formation enthalpy at 0 K in eV per atom: -0.41
Space group: F-43m
Mass density in g cm⁻³: 10.5
Crystal system: cubic

Density functional theory data (PBE) for a geometry-optimized Gd2CdIr structure.

Lattice parameters (Å, degrees): 3.540 3.540 7.592 90.00 90.00 90.00
Positions (direct):
Cd: 0.000 0.000 0.500
Ir: 0.000 0.000 0.000
Gd: 0.500 0.500 0.783
Gd: 0.500 0.500 0.217

E in eV/atom: -5.341
Formation enthalpy at 0 K in eV per atom: -0.58
Space group: P4/mmm
Mass density in g cm⁻³: 10.8
Crystal system: tetragonal